Density functional theory data (PBE) for LiTe2PbAuSe after structural relaxation.

## Properties
The calculated volume is 28.509 Å³ per atom. As for the space group: No. 63. The total DFT energy (no corrections) comes out at -3.42 eV/atom.

a = 7.676 Å, b = 7.676 Å, c = 10.587 Å
α = 90.00°, β = 90.00°, γ = 146.74°
Positions (direct):
Li 0.233 0.767 0.750
Li 0.767 0.233 0.250
Te 0.155 0.845 0.115
Te 0.155 0.845 0.385
Te 0.845 0.155 0.615
Te 0.845 0.155 0.885
Pb 0.500 0.500 0.000
Pb 0.500 0.500 0.500
Au 0.015 0.985 0.750
Au 0.985 0.015 0.250
Se 0.389 0.611 0.250
Se 0.611 0.389 0.750